Computed, not measured: a PBEsol-optimized structure of TcHSeBr2 at the meta-GGA SCAN level of DFT.

Cell: 5.149 5.149 4.648 Å, 90.00 90.00 90.00°
Fractional coordinates of all 5 atoms:
Tc  0.000  0.000  0.000
H  0.500  0.500  0.500
Se  0.000  0.000  0.500
Br  0.000  0.500  0.000
Br  0.500  0.000  0.000

Energy relative to the lowest polymorph listed for this composition, meV/atom: 0
DOS at the Fermi energy, states/eV/f.u.: 1.92
Total magnetic moment, μB/atom: 0.632